LiAl2V after structural relaxation. Source: Alexandria, functional PBE.

```
4
Lattice="-1.927 -0.973 -1.638 1.545 -2.212 -0.250 -3.817 -3.402 6.513" Properties=species:S:1:pos:R:3 pbc="T T T"
Li -2.100 -3.294 2.313
Al -0.903 -0.805 1.541
Al -2.914 -2.597 4.972
V -0.191 -1.593 -0.944
```

Summary:
- ΔH_f (0 K): -0.16 eV per atom
- Total magnetization: 0.000 μB/atom
- Total DFT energy (no corrections): -0.352 Ry/atom